A relaxed structure of Dy2SeO. Source: Alexandria via LeMat-Bulk, functional PBE-GGA.

Computed properties:
Energy relative to the elements, uncorrected ... -2.19 eV per atom
Crystal system ... trigonal

Cell: 3.678 3.678 6.760 Å, 74.22 74.22 60.00°
Fractional positions:
Dy (0.268, 0.268, 0.196)
Dy (0.732, 0.732, 0.804)
Se (0.500, 0.500, 0.500)
O (0.000, 0.000, 0.000)